# PBEsol CoHg2Rh, relaxed
data_CoHg2Rh
_space_group_name_H-M_alt 'P 4 m m'
_space_group_IT_number 99
_space_group_name_Hall 'P 4 -2'
_cell_length_a 2.891
_cell_length_b 2.891
_cell_length_c 7.779
_cell_angle_alpha 90.00
_cell_angle_beta 90.00
_cell_angle_gamma 90.00
loop_
_atom_site_label
_atom_site_type_symbol
_atom_site_fract_x
_atom_site_fract_y
_atom_site_fract_z
Co1 Co 0.000 0.000 0.000
Hg1 Hg 0.000 0.000 0.559
Hg2 Hg 0.500 0.500 0.237
Rh1 Rh 0.500 0.500 0.816
# Spin magnetization: 2.26 μB/f.u.
# Energy of formation: 0.19 eV per atom
# Energy above the lowest structure with this stoichiometry: 0.000 kcal/mol of atoms
# Density: 14.38 Mg/m³
# Volume: 65.00 Å³/f.u.
# Uncorrected energy: -16.25 eV per formula unit